{"formula": "ZrFe2Sb2", "functional": "GGA-PBE", "state": "relaxed", "mass_density_g_cm3": 8.18, "raw_formation_energy_ev_per_atom": -0.013, "de_polymorph_ev_per_atom": 0.0000, "energy_ev_per_cell": -67.571, "dos_ef_per_ev_atom": 1.17, "lattice_angstrom": [[-0.9971, -4.2286, -5.7995], [6.9001, -2.1766, 0.4007], [-0.9411, -2.6042, 2.0606]], "species": ["Fe", "Fe", "Fe", "Fe", "Zr", "Zr", "Sb", "Sb", "Sb", "Sb"], "frac_coords": [[0.6162, 0.8838, 0.0000], [0.8838, 0.3838, 0.0000], [0.3838, 0.1162, 0.0000], [0.1162, 0.6162, 0.0000], [0.5000, 0.5000, 0.0000], [0.0000, 0.0000, 0.0000], [0.8231, 0.6769, 0.5000], [0.3231, 0.8231, 0.5000], [0.1769, 0.3231, 0.5000], [0.6769, 0.1769, 0.5000]]}